(w)
Density functional theory data (GGA-PBE) for FeRhC after structural relaxation.

Cell: 2.7336 2.7974 4.8497 Å, 102.74 105.92 90.10°
Last column: nearest neighbours and their distance in Å.
Space group P1 (No. 1)
Unique sites:
Fe: 0.0000 0.0000 0.0000 x1  2 C 1.76-1.85
Rh: 0.2914 0.1628 0.5733 x1  2 C 1.95-2.09
C: 0.1296 0.5752 0.2521 x1  2 Fe 1.76-1.85, 1 Rh 1.95

---

(x)
Density functional theory data (GGA-PBE) for FeRhC after structural relaxation.

Cell: 3.0362 3.0362 11.9131 Å, 90.00 90.00 120.00°
Last column: nearest neighbours and their distance in Å.
Space group R3m (No. 160, hexagonal axes)
Unique sites:
Fe: 0.0000 0.0000 0.0000 x3  3 C 1.88
Rh: 0.0000 0.0000 0.5026 x3  3 C 2.17
C: 0.0000 0.0000 0.2773 x3  3 Fe 1.88

---

(y)
Density functional theory data (GGA-PBE) for FeRhC after structural relaxation.

Cell: 2.7505 2.6936 8.3146 Å, 90.00 90.00 90.00°
Last column: nearest neighbours and their distance in Å.
Space group Amm2 (No. 38)
Unique sites:
Fe: 0.0000 0.0000 0.0000 x2  4 C 2.02
Rh: 0.5000 0.0000 0.2708 x2  2 C 2.11
C: 0.5000 0.0000 0.5750 x2  4 Fe 2.02, 2 Rh 2.11

---

(x) comes first in stability; the runner-up is 0.6 kJ/mol of atoms higher.

---

(w)
Density functional theory data (GGA-PBE) for FeRhC after structural relaxation.

Cell: 3.1836 3.1836 4.0545 Å, 90.00 90.00 120.00°
Last column: nearest neighbours and their distance in Å.
Space group P-6m2 (No. 187)
Unique sites:
Fe: 0.0000 0.0000 0.0000 x1  3 C 1.84
Rh: 0.3333 0.6667 0.5000 x1  2 C 2.03
C: 0.3333 0.6667 0.0000 x1  3 Fe 1.84, 2 Rh 2.03

---

(x)
Density functional theory data (GGA-PBE) for FeRhC after structural relaxation.

Cell: 6.2149 2.7664 4.4825 Å, 90.00 124.02 90.00°
Last column: nearest neighbours and their distance in Å.
Space group Cm (No. 8)
Unique sites:
Fe: 0.0000 0.0000 0.0000 x2  3 C 1.89-1.90
Rh: 0.4977 0.0000 0.5046 x2  3 C 2.14-2.20
C: 0.2378 0.5000 0.0956 x2  3 Fe 1.89-1.90

---

(x) comes first in stability; the runner-up is 4.8 kJ/mol of atoms higher.